Entry from Alexandria via LeMat-Bulk: an optimized crystal structure of LiBeNi2O (PBE+U).

N(E_F) = 0.326 states/eV/atom
ρ = 3.21 Mg/m³
electronic total energy = -3.095 eV/atom

CIF file:
```
data_LiBeNi2O
_chemical_formula_sum 'Li1 Be1 Ni2 O1'
_symmetry_space_group_name_H-M 'P 4/m m m'
_symmetry_Int_Tables_number 123
_symmetry_space_group_name_Hall '-P 4 2'
_cell_length_a 5.225
_cell_length_b 5.225
_cell_length_c 2.825
_cell_angle_alpha 90.00
_cell_angle_beta 90.00
_cell_angle_gamma 90.00
loop_
_atom_site_label
_atom_site_type_symbol
_atom_site_fract_x
_atom_site_fract_y
_atom_site_fract_z
_atom_site_occupancy
Li1 Li 0.000 0.000 0.000 1
Be1 Be 0.500 0.500 0.500 1
Ni1 Ni 0.000 0.500 0.500 1
O1 O 0.500 0.500 0.000 1
```